Entry from Alexandria: a relaxed Tl2PBr crystal (GGA-PBEsol).

## Properties
Uncorrected formation energy (meV/atom): 253
E above lowest polymorph (meV per atom): 296
V (Å³/f.u.): 98

```
Tl2PBr
1.0
0.0000 3.6598 3.6598
3.6598 0.0000 3.6598
3.6598 3.6598 0.0000
Tl P Br
2 1 1
Direct
0.0000 0.0000 0.0000
0.2500 0.2500 0.2500
0.7500 0.7500 0.7500
0.5000 0.5000 0.5000
```